# 1
# HPtSe3

Crystalline HPtSe3 at its relaxed geometry (GGA-PBE, Alexandria via LeMat-Bulk).

```
5
Lattice="-3.2493 -2.7071 -0.6700 0.1456 -1.1921 4.1101 -2.7849 3.0961 0.9967" Properties=species:S:1:pos:R:3 pbc="T T T"
Se 0.0728 -0.5960 2.0551
Se -1.3925 1.5481 0.4983
Pt -2.9443 -0.4015 2.2184
Se -1.6247 -1.3535 -0.3350
H 0.0000 0.0000 0.0000
```

Summary:
SG: No. 221
Total magnetization in μB/atom: 0.000
Uncorrected energy in eV per atom: -3.084
DOS(E_F) in states/eV/f.u.: 4.29
Energy above the lowest structure with this stoichiometry in kcal/mol of atoms: 0.00



# 2
# HPtSe2

Crystalline HPtSe2 at its relaxed geometry (GGA-PBE, Alexandria via LeMat-Bulk).

```
4
Lattice="2.2698 0.0000 6.0460 -1.1349 1.9657 6.0460 -1.1349 -1.9657 6.0460" Properties=species:S:1:pos:R:3 pbc="T T T"
Pt 0.0000 0.0000 9.0690
Se 0.0000 0.0000 1.7942
Se 0.0000 0.0000 16.3437
H 0.0000 0.0000 0.0000
```

Summary:
SG: No. 166
Total magnetization in μB/atom: 0.000
Uncorrected energy in eV per atom: -4.194
DOS(E_F) in states/eV/f.u.: 1.84
Energy above the lowest structure with this stoichiometry in kcal/mol of atoms: 0.73



Q: Which of these has the highest DOS(E_F)?
A: HPtSe3